First-principles (PBE) data for a relaxed structure of MnTc4, as listed in Alexandria.

abc: 4.343 4.343 4.343
angles: 90.00 90.00 90.00
Space group Pm-3m (No. 221)
Asymmetric unit:
Mn: 0.000 0.000 0.000 x1
Tc: 0.000 0.000 0.500 x3
Tc: 0.500 0.500 0.500 x1

Results
E above lowest polymorph (meV per atom): 1197
Size of the total moment (Bohr magnetons per cell): 0.79
Energy of formation from the pure elements (eV per atom): 1.29


First-principles (PBE) data for a relaxed structure of Mn6Tc, as listed in Alexandria.

abc: 7.509 4.575 9.612
angles: 90.00 90.00 90.00
Space group Pnma (No. 62)
Asymmetric unit:
Mn: 0.050 0.250 0.073 x4
Mn: 0.076 0.512 0.307 x8
Mn: 0.088 0.750 0.520 x4
Mn: 0.131 0.250 0.848 x4
Mn: 0.188 0.750 0.748 x4
Tc: 0.248 0.250 0.566 x4

Results
Size of the total moment (Bohr magnetons per cell): 7.61
Energy of formation from the pure elements (eV per atom): 0.13


First-principles (PBE) data for a relaxed structure of MnTc, as listed in Alexandria.

abc: 2.665 4.237 4.549
angles: 90.00 90.00 90.00
Space group Pmmn (No. 59, origin choice 2)
Asymmetric unit:
Mn: 0.250 0.250 0.078 x2
Tc: 0.250 0.750 0.403 x2

Results
Size of the total moment (Bohr magnetons per cell): 0.00
Energy of formation from the pure elements (eV per atom): 0.12


First-principles (PBE) data for a relaxed structure of MnTc3, as listed in Alexandria.

abc: 3.091 3.091 5.893
angles: 90.00 90.00 90.00
Space group P4/mmm (No. 123)
Asymmetric unit:
Mn: 0.000 0.000 0.000 x1
Tc: 0.000 0.000 0.500 x1
Tc: 0.500 0.500 0.232 x2

Results
Size of the total moment (Bohr magnetons per cell): 2.59
Energy of formation from the pure elements (eV per atom): 0.13


First-principles (PBE) data for a relaxed structure of MnTc, as listed in Alexandria.

abc: 4.710 4.710 4.710
angles: 90.00 90.00 90.00
Space group P2_13 (No. 198)
Asymmetric unit:
Mn: 0.104 0.396 0.604 x4
Tc: 0.102 0.898 0.398 x4

Results
Size of the total moment (Bohr magnetons per cell): 0.58
Energy of formation from the pure elements (eV per atom): 0.19


First-principles (PBE) data for a relaxed structure of MnTc, as listed in Alexandria.

abc: 5.262 5.262 5.262
angles: 90.00 90.00 90.00
Space group F-43m (No. 216)
Asymmetric unit:
Mn: 0.000 0.000 0.000 x4
Tc: 0.250 0.250 0.250 x4

Results
Size of the total moment (Bohr magnetons per cell): 0.00
Energy of formation from the pure elements (eV per atom): 1.43


First-principles (PBE) data for a relaxed structure of MnTc, as listed in Alexandria.

abc: 2.707 12.937 4.414
angles: 90.00 90.00 90.00
Space group Amm2 (No. 38)
Asymmetric unit:
Mn: 0.000 0.000 0.000 x2
Mn: 0.500 0.148 0.146 x4
Tc: 0.000 0.181 0.650 x4
Tc: 0.500 0.000 0.511 x2

Results
Size of the total moment (Bohr magnetons per cell): 2.05
Energy of formation from the pure elements (eV per atom): 0.06


First-principles (PBE) data for a relaxed structure of Mn3Tc2, as listed in Alexandria.

abc: 4.0442 4.0442 5.0457
angles: 90.00 90.00 120.00
Space group P-3m1 (No. 164)
Asymmetric unit:
Mn: 0.0000 0.0000 0.0000 x1
Mn: 0.3333 0.6667 0.3588 x2
Tc: 0.3333 0.6667 0.8248 x2

Results
E above lowest polymorph (meV per atom): 375
Size of the total moment (Bohr magnetons per cell): 0.80
Energy of formation from the pure elements (eV per atom): 0.48


First-principles (PBE) data for a relaxed structure of MnTc3, as listed in Alexandria.

abc: 2.696 2.696 7.536
angles: 90.00 90.00 90.00
Space group P4/mmm (No. 123)
Asymmetric unit:
Mn: 0.000 0.000 0.000 x1
Tc: 0.000 0.000 0.500 x1
Tc: 0.500 0.500 0.230 x2

Results
Size of the total moment (Bohr magnetons per cell): 0.00
Energy of formation from the pure elements (eV per atom): 0.09


First-principles (PBE) data for a relaxed structure of MnTc, as listed in Alexandria.

abc: 4.7434 4.7434 7.8534
angles: 90.00 90.00 120.00
Space group P6_3/mmc (No. 194)
Asymmetric unit:
Mn: 0.1783 0.3567 0.2500 x6
Tc: 0.0000 0.0000 0.0000 x2
Tc: 0.3333 0.6667 0.5740 x4

Results
Size of the total moment (Bohr magnetons per cell): 0.00
Energy of formation from the pure elements (eV per atom): -0.03


First-principles (PBE) data for a relaxed structure of MnTc8, as listed in Alexandria.

abc: 8.195 8.195 3.842
angles: 90.00 90.00 90.00
Space group I4/mmm (No. 139)
Asymmetric unit:
Mn: 0.000 0.000 0.000 x2
Tc: 0.000 0.331 0.000 x8
Tc: 0.165 0.165 0.500 x8

Results
Size of the total moment (Bohr magnetons per cell): 3.70
Energy of formation from the pure elements (eV per atom): 0.09


First-principles (PBE) data for a relaxed structure of MnTc, as listed in Alexandria.

abc: 2.6632 2.6632 4.1859
angles: 90.00 90.00 120.00
Space group P-6m2 (No. 187)
Asymmetric unit:
Mn: 0.0000 0.0000 0.0000 x1
Tc: 0.3333 0.6667 0.5000 x1

Results
Size of the total moment (Bohr magnetons per cell): 0.00
Energy of formation from the pure elements (eV per atom): 0.13